Entry 1:
! Tl2Au2Br7 (PBE-GGA, optimized geometry); values from VASP
&SYSTEM
  ibrav = 0, nat = 22, ntyp = 3
/
ATOMIC_SPECIES
Au 196.97 Au.upf
Br 79.90 Br.upf
Tl 204.38 Tl.upf
CELL_PARAMETERS angstrom
1.4509 -1.5711 -7.9503
6.5515 -4.7088 1.6388
-10.7974 -8.1881 3.0641
ATOMIC_POSITIONS crystal
Au 0.9316 0.9315 0.8147
Br 0.8963 0.6927 0.9113
Br 0.6164 0.5223 0.1436
Tl 0.5604 0.2627 0.5367
Au 0.0685 0.0684 0.6853
Br 0.6927 0.8963 0.4113
Br 0.3073 0.1037 0.5887
Br 0.1037 0.3073 0.0887
Tl 0.2627 0.5604 0.0367
Br 0.6829 0.0844 0.8564
Br 0.3171 0.9156 0.1436
Br 0.0844 0.6829 0.3564
Br 0.4777 0.3836 0.3564
Br 0.5223 0.6164 0.6436
Br 0.8194 0.1806 0.2500
Au 0.0684 0.0685 0.1853
Tl 0.4396 0.7373 0.4633
Au 0.9315 0.9316 0.3147
Br 0.3836 0.4777 0.8564
Br 0.9156 0.3171 0.6436
Tl 0.7373 0.4396 0.9633
Br 0.1806 0.8194 0.7500
! energy relative to the lowest polymorph listed for this composition: 23 meV/atom
! formation energy without anion corrections: -321.0 meV per atom
! V: 444.3 Å³/f.u.
! final energy: -2.412 eV per atom
! magnetic moment: 0.000 μB/f.u.

=====

Entry 2:
! Dy2Y3S6 (PBE-GGA, optimized geometry); values from VASP
&SYSTEM
  ibrav = 0, nat = 11, ntyp = 3
/
ATOMIC_SPECIES
Y 88.91 Y.upf
S 32.06 S.upf
Dy 162.50 Dy.upf
CELL_PARAMETERS angstrom
-6.0639 -3.0151 0.3558
-1.1805 -4.6950 4.7220
-4.0275 3.5165 4.1077
ATOMIC_POSITIONS crystal
Y 0.0000 0.0000 0.0000
S 0.5834 0.3343 0.2496
S 0.2494 0.0000 0.2549
S 0.9177 0.6657 0.2496
Dy 0.1656 0.6689 0.5000
Y 0.3373 0.3255 0.0000
S 0.0823 0.3343 0.7504
S 0.7506 0.0000 0.7451
S 0.4166 0.6657 0.7504
Dy 0.8344 0.3311 0.5000
Y 0.6627 0.6745 0.0000
! formation energy without anion corrections: -2077.6 meV per atom
! V: 252.2 Å³/f.u.
! final energy: -6.929 eV per atom
! magnetic moment: 0.000 μB/f.u.

=====

Entry 3:
! LaZn2In (PBE-GGA, optimized geometry); values from VASP
&SYSTEM
  ibrav = 0, nat = 4, ntyp = 3
/
ATOMIC_SPECIES
Zn 65.41 Zn.upf
La 138.91 La.upf
In 114.82 In.upf
CELL_PARAMETERS angstrom
4.4069 0.0032 -0.0007
2.2040 3.8162 -0.0007
2.1989 1.2704 5.7870
ATOMIC_POSITIONS crystal
Zn 0.9547 0.9547 0.1361
La 0.7372 0.7372 0.7882
Zn 0.2776 0.2776 0.1673
In 0.5305 0.5305 0.4084
! DFT formation energy: -0.308 eV per atom
! V: 97.3 Å³/f.u.
! final energy: -2.862 eV per atom
! magnetic moment: 0.001 μB/f.u.

=====

Entry 4:
! CaMn2Tc (PBE-GGA, optimized geometry); values from VASP
&SYSTEM
  ibrav = 0, nat = 4, ntyp = 3
/
ATOMIC_SPECIES
Tc 98.00 Tc.upf
Mn 54.94 Mn.upf
Ca 40.08 Ca.upf
CELL_PARAMETERS angstrom
-2.5372 -0.8393 1.6415
0.1197 -2.8623 -1.2785
4.4675 -5.1541 4.2699
ATOMIC_POSITIONS crystal
Tc 0.5000 0.2500 0.2500
Mn 0.0000 0.5637 0.4363
Ca 0.5000 0.7500 0.7500
Mn 0.0000 0.9363 0.0637
! DFT formation energy: 0.382 eV per atom
! energy relative to the lowest polymorph listed for this composition: 23 meV/atom
! V: 72.9 Å³/f.u.
! final energy: -7.294 eV per atom
! magnetic moment: 6.369 μB/f.u.

=====

Entry 5:
! TaNbO5 (PBE-GGA, optimized geometry); values from VASP
&SYSTEM
  ibrav = 0, nat = 28, ntyp = 3
/
ATOMIC_SPECIES
O 16.00 O.upf
Nb 92.91 Nb.upf
Ta 180.95 Ta.upf
CELL_PARAMETERS angstrom
-1.1691 -3.2037 -4.6597
6.3254 -3.4399 0.7781
-5.5173 -8.5090 7.2346
ATOMIC_POSITIONS crystal
O 0.7500 0.8128 0.4244
O 0.5000 0.0000 0.0000
Nb 0.2500 0.1509 0.9441
O 0.7500 0.9791 0.1973
Ta 0.7500 0.0319 0.3450
O 0.2500 0.4791 0.3027
O 0.0000 0.5000 0.5000
O 0.4903 0.3320 0.8793
Nb 0.7500 0.6509 0.5559
O 0.7500 0.5209 0.6973
Nb 0.2500 0.3491 0.4441
O 0.5000 0.5000 0.5000
O 0.0000 0.0000 0.0000
O 0.5097 0.8320 0.6207
O 0.9903 0.6680 0.1207
Nb 0.7500 0.8491 0.0559
O 0.2500 0.0209 0.8027
O 0.9903 0.8320 0.6207
O 0.0097 0.3320 0.8793
O 0.2500 0.1872 0.5756
O 0.5097 0.6680 0.1207
Ta 0.2500 0.5319 0.1550
O 0.4903 0.1680 0.3793
O 0.7500 0.6872 0.9244
Ta 0.2500 0.9681 0.6550
O 0.0097 0.1680 0.3793
Ta 0.7500 0.4681 0.8450
O 0.2500 0.3128 0.0756
! energy relative to the lowest polymorph listed for this composition: 0 meV/atom
! formation energy without anion corrections: -2652.8 meV per atom
! V: 130.2 Å³/f.u.
! final energy: -9.326 eV per atom
! magnetic moment: 0.000 μB/f.u.

=====

Entry 6:
! NaScAl2Cl (PBE-GGA, optimized geometry); values from VASP
&SYSTEM
  ibrav = 0, nat = 5, ntyp = 4
/
ATOMIC_SPECIES
Al 26.98 Al.upf
Na 22.99 Na.upf
Cl 35.45 Cl.upf
Sc 44.96 Sc.upf
CELL_PARAMETERS angstrom
-4.1537 0.6017 2.9681
-2.8375 -0.3414 -3.9017
-0.2759 -5.0923 0.6462
ATOMIC_POSITIONS crystal
Al 0.5000 0.0000 0.0000
Na 0.5000 0.5000 0.5000
Cl 0.0000 0.0000 0.0000
Sc 0.0000 0.5000 0.0000
Al 0.0000 0.0000 0.5000
! energy relative to the lowest polymorph listed for this composition: 24 meV/atom
! formation energy without anion corrections: 212.8 meV per atom
! V: 127.8 Å³/f.u.
! final energy: -3.184 eV per atom
! magnetic moment: 0.000 μB/f.u.

=====

Entry 7:
! Ho6Te3HC2 (PBE-GGA, optimized geometry); values from VASP
&SYSTEM
  ibrav = 0, nat = 12, ntyp = 4
/
ATOMIC_SPECIES
Te 127.60 Te.upf
Ho 164.93 Ho.upf
C 12.01 C.upf
H 1.01 H.upf
CELL_PARAMETERS angstrom
3.8569 0.0000 0.0000
0.0000 8.2292 0.0829
-1.9285 -2.5866 8.4328
ATOMIC_POSITIONS crystal
Te 0.8415 0.1653 0.6830
Ho 0.6679 0.1362 0.3358
Ho 0.9741 0.7560 0.9482
Ho 0.3321 0.8638 0.6642
C 0.1685 0.3343 0.3370
Ho 0.3197 0.4509 0.6394
Te 0.5000 0.5000 0.0000
Te 0.1585 0.8347 0.3170
Ho 0.0259 0.2440 0.0518
C 0.8315 0.6657 0.6630
Ho 0.6803 0.5491 0.3606
H 0.5000 0.0000 0.0000
! V: 268.5 Å³/f.u.
! final energy: -5.710 eV per atom
! magnetic moment: 0.048 μB/f.u.

=====

Entry 8:
! ZrAgSe2 (PBE-GGA, optimized geometry); values from VASP
&SYSTEM
  ibrav = 0, nat = 4, ntyp = 3
/
ATOMIC_SPECIES
Ag 107.87 Ag.upf
Se 78.96 Se.upf
Zr 91.22 Zr.upf
CELL_PARAMETERS angstrom
2.1529 0.0000 8.4107
-1.0764 1.8644 8.4107
-1.0764 -1.8644 8.4107
ATOMIC_POSITIONS crystal
Ag 0.0000 0.0000 0.0000
Se 0.8990 0.8990 0.8990
Zr 0.5000 0.5000 0.5000
Se 0.1010 0.1010 0.1010
! formation energy without anion corrections: -830.0 meV per atom
! V: 101.3 Å³/f.u.
! final energy: -5.422 eV per atom
! magnetic moment: 0.000 μB/f.u.

=====

Entry 9:
! CoAgP2 (PBE-GGA, optimized geometry); values from VASP
&SYSTEM
  ibrav = 0, nat = 4, ntyp = 3
/
ATOMIC_SPECIES
P 30.97 P.upf
Co 58.93 Co.upf
Ag 107.87 Ag.upf
CELL_PARAMETERS angstrom
4.9595 0.2398 -0.0346
1.0696 4.8488 0.0346
-2.5326 -3.1154 2.9216
ATOMIC_POSITIONS crystal
P 0.6026 0.6026 0.0000
P 0.8974 0.8974 0.0000
Co 0.7500 0.2500 0.5000
Ag 0.2500 0.7500 0.5000
! DFT formation energy: 0.297 eV per atom
! energy relative to the lowest polymorph listed for this composition: 259 meV/atom
! V: 69.7 Å³/f.u.
! final energy: -4.897 eV per atom
! magnetic moment: 0.328 μB/f.u.

=====

Entry 10:
! AcEr7In4 (PBE-GGA, optimized geometry); values from VASP
&SYSTEM
  ibrav = 0, nat = 12, ntyp = 3
/
ATOMIC_SPECIES
Ac 227.00 Ac.upf
Er 167.26 Er.upf
In 114.82 In.upf
CELL_PARAMETERS angstrom
-2.8662 1.0515 -4.9142
-0.3143 -7.9749 -4.9284
-7.3825 -1.9249 0.4885
ATOMIC_POSITIONS crystal
Ac 0.0000 0.0000 0.0000
Er 0.2160 0.1244 0.4436
Er 0.7840 0.8756 0.5564
In 0.5646 0.2309 0.6399
Er 0.5000 0.0000 0.0000
In 0.6859 0.6691 0.9591
Er 0.3020 0.6306 0.7654
Er 0.9391 0.3899 0.7319
Er 0.0609 0.6101 0.2681
In 0.3141 0.3309 0.0409
Er 0.6980 0.3694 0.2346
In 0.4354 0.7691 0.3601
! DFT formation energy: -0.041 eV per atom
! V: 363.1 Å³/f.u.
! final energy: -3.958 eV per atom
! magnetic moment: 0.000 μB/f.u.

=====

Entry 11:
! LiDy2F8 (PBE-GGA, optimized geometry); values from VASP
&SYSTEM
  ibrav = 0, nat = 11, ntyp = 3
/
ATOMIC_SPECIES
Dy 162.50 Dy.upf
F 19.00 F.upf
Li 6.94 Li.upf
CELL_PARAMETERS angstrom
3.8088 0.0000 0.0000
0.0000 5.4232 -0.3111
-1.9044 -2.6866 6.4294
ATOMIC_POSITIONS crystal
Dy 0.8344 0.3345 0.6688
F 0.2159 0.3225 0.4318
F 0.9741 0.2320 0.9481
Dy 0.1656 0.6655 0.3312
F 0.7841 0.6775 0.5682
Li 0.5000 0.0000 0.0000
F 0.4053 0.5934 0.8105
F 0.3241 0.0549 0.6483
F 0.5947 0.4066 0.1895
F 0.6759 0.9451 0.3517
F 0.0259 0.7680 0.0519
! energy relative to the lowest polymorph listed for this composition: 0 meV/atom
! formation energy without anion corrections: -3444.2 meV per atom
! V: 129.6 Å³/f.u.
! final energy: -5.816 eV per atom
! magnetic moment: 1.037 μB/f.u.

=====

The highest V belongs to which entry?
Tl2Au2Br7